(1)
The following is a DFT calculation (PBE-GGA) of crystalline Sm5HoSi4 at its relaxed geometry.

Properties
For the raw formation energy, the calculation gives -0.507 eV per atom. The value obtained for the theoretical density is 6.4 g/cm3.

CIF file:
```
data_Sm5HoSi4
_chemical_formula_sum 'Sm10 Ho2 Si8'
_space_group_name_H-M_alt 'C 1 2/m 1'
_space_group_IT_number 12
_cell_length_a 15.410
_cell_length_b 5.000
_cell_length_c 6.887
_cell_angle_alpha 90.00
_cell_angle_beta 90.55
_cell_angle_gamma 90.00
loop_
_space_group_symop_operation_xyz
'x,y,z'
'-x,-y,-z'
'-x,y,-z'
'x,-y,z'
'x+1/2,y+1/2,z'
'-x+1/2,-y+1/2,-z'
'-x+1/2,y+1/2,-z'
'x+1/2,-y+1/2,z'
loop_
_atom_site_label
_atom_site_fract_x
_atom_site_fract_y
_atom_site_fract_z
_atom_site_occupancy
Sm1 0.000 0.000 0.000 1
Sm2 0.164 0.500 0.997 1
Sm3 0.166 0.500 0.507 1
Ho1 0.000 0.000 0.500 1
Si1 0.008 0.500 0.258 1
Si2 0.176 0.000 0.749 1
```

***

(2)
The following is a DFT calculation (PBE-GGA) of crystalline Sb2AsBr at its relaxed geometry.

Properties
For the raw formation energy, the calculation gives 0.106 eV per atom. Its excess energy over the best structure of this formula in the dataset is 159 meV per atom. The value obtained for the theoretical density is 5.8 g/cm3.

CIF file:
```
data_Sb2AsBr
_chemical_formula_sum 'Sb8 As4 Br4'
_space_group_name_H-M_alt 'I -4 2 d'
_space_group_IT_number 122
_space_group_name_Hall 'I -4 2bw'
_cell_length_a 8.092
_cell_length_b 8.092
_cell_length_c 6.912
_cell_angle_alpha 90.00
_cell_angle_beta 90.00
_cell_angle_gamma 90.00
loop_
_atom_site_label
_atom_site_fract_x
_atom_site_fract_y
_atom_site_fract_z
_atom_site_occupancy
Sb1 0.211 0.250 0.125 1
As1 0.000 0.000 0.000 1
Br1 0.000 0.000 0.500 1
```

***

(3)
The following is a DFT calculation (PBE-GGA) of crystalline Pr4TlAgAu2 at its relaxed geometry.

Properties
The value obtained for the formation energy is -0.51 eV/atom. The value obtained for the theoretical density is 9.6 g/cm3.

CIF file:
```
data_Pr4TlAgAu2
_chemical_formula_sum 'Pr12 Tl3 Ag3 Au6'
_space_group_name_H-M_alt 'R -3 m'
_space_group_IT_number 166
_space_group_name_Hall '-R 3 2"'
_cell_length_a 5.3721
_cell_length_b 5.3721
_cell_length_c 26.3340
_cell_angle_alpha 90.00
_cell_angle_beta 90.00
_cell_angle_gamma 120.00
loop_
_atom_site_label
_atom_site_fract_x
_atom_site_fract_y
_atom_site_fract_z
_atom_site_occupancy
Pr1 0.0000 0.0000 0.1210 1
Pr2 0.0000 0.0000 0.3719 1
Tl1 0.0000 0.0000 0.5000 1
Ag1 0.0000 0.0000 0.0000 1
Au1 0.0000 0.0000 0.2465 1
```

***

(4)
The following is a DFT calculation (PBE-GGA) of crystalline YIr2Cl at its relaxed geometry.

Properties
For the raw formation energy, the calculation gives 0.287 eV per atom. Its excess energy over the best structure of this formula in the dataset is 840 meV per atom. The value obtained for the theoretical density is 9.3 g/cm3.

CIF file:
```
data_YIr2Cl
_chemical_formula_sum 'Y4 Ir8 Cl4'
_space_group_name_H-M_alt 'I -4 2 d'
_space_group_IT_number 122
_space_group_name_Hall 'I -4 2bw'
_cell_length_a 4.936
_cell_length_b 4.936
_cell_length_c 14.841
_cell_angle_alpha 90.00
_cell_angle_beta 90.00
_cell_angle_gamma 90.00
loop_
_atom_site_label
_atom_site_fract_x
_atom_site_fract_y
_atom_site_fract_z
_atom_site_occupancy
Y1 0.000 0.000 0.000 1
Ir1 0.084 0.250 0.625 1
Cl1 0.000 0.000 0.500 1
```

***

(5)
The following is a DFT calculation (PBE-GGA) of crystalline Rb2PmTlI6 at its relaxed geometry.

Properties
For the raw formation energy, the calculation gives -1.314 eV per atom. The value obtained for the theoretical density is 4.3 g/cm3.

CIF file:
```
data_Rb2PmTlI6
_chemical_formula_sum 'Rb4 Pm2 Tl2 I12'
_space_group_name_H-M_alt 'P 1 21/c 1'
_space_group_IT_number 14
_cell_length_a 8.570
_cell_length_b 9.236
_cell_length_c 15.023
_cell_angle_alpha 90.00
_cell_angle_beta 123.96
_cell_angle_gamma 90.00
loop_
_space_group_symop_operation_xyz
'x,y,z'
'-x,-y,-z'
'-x,y+1/2,-z+1/2'
'x,-y+1/2,z+1/2'
loop_
_atom_site_label
_atom_site_fract_x
_atom_site_fract_y
_atom_site_fract_z
_atom_site_occupancy
Rb1 0.213 0.089 0.249 1
Pm1 0.500 0.000 0.000 1
Tl1 0.000 0.000 0.500 1
I1 0.146 0.177 0.943 1
I2 0.270 0.712 0.938 1
I3 0.388 0.037 0.765 1
```

***

(6)
The following is a DFT calculation (PBE-GGA) of crystalline MgScSnIr at its relaxed geometry.

Properties
The value obtained for the formation energy is -0.54 eV/atom. The value obtained for the theoretical density is 8.8 g/cm3.

CIF file:
```
data_MgScSnIr
_chemical_formula_sum 'Mg4 Sc4 Sn4 Ir4'
_space_group_name_H-M_alt 'F -4 3 m'
_space_group_IT_number 216
_space_group_name_Hall 'F -4 2 3'
_cell_length_a 6.604
_cell_length_b 6.604
_cell_length_c 6.604
_cell_angle_alpha 90.00
_cell_angle_beta 90.00
_cell_angle_gamma 90.00
loop_
_atom_site_label
_atom_site_fract_x
_atom_site_fract_y
_atom_site_fract_z
_atom_site_occupancy
Mg1 0.000 0.000 0.000 1
Sc1 0.250 0.250 0.750 1
Sn1 0.250 0.250 0.250 1
Ir1 0.000 0.000 0.500 1
```

***

(7)
The following is a DFT calculation (PBE-GGA) of crystalline La2CdCl at its relaxed geometry.

Properties
For the raw formation energy, the calculation gives -0.861 eV per atom. Its excess energy over the best structure of this formula in the dataset is 10 meV per atom. The value obtained for the theoretical density is 5.9 g/cm3.

CIF file:
```
data_La2CdCl
_chemical_formula_sum 'La4 Cd2 Cl2'
_space_group_name_H-M_alt 'C 1 2/m 1'
_space_group_IT_number 12
_cell_length_a 7.530
_cell_length_b 4.338
_cell_length_c 7.776
_cell_angle_alpha 90.00
_cell_angle_beta 108.75
_cell_angle_gamma 90.00
loop_
_space_group_symop_operation_xyz
'x,y,z'
'-x,-y,-z'
'-x,y,-z'
'x,-y,z'
'x+1/2,y+1/2,z'
'-x+1/2,-y+1/2,-z'
'-x+1/2,y+1/2,-z'
'x+1/2,-y+1/2,z'
loop_
_atom_site_label
_atom_site_fract_x
_atom_site_fract_y
_atom_site_fract_z
_atom_site_occupancy
La1 0.239 0.000 0.217 1
Cd1 0.000 0.000 0.500 1
Cl1 0.000 0.500 0.000 1
```

***

(8)
The following is a DFT calculation (PBE-GGA) of crystalline Li3TaBr at its relaxed geometry.

Properties
For the raw formation energy, the calculation gives 0.557 eV per atom. Its excess energy over the best structure of this formula in the dataset is 0 meV per atom. The value obtained for the theoretical density is 4.1 g/cm3.

CIF file:
```
data_Li3TaBr
_chemical_formula_sum 'Li3 Ta1 Br1'
_space_group_name_H-M_alt 'P m -3 m'
_space_group_IT_number 221
_space_group_name_Hall '-P 4 2 3'
_cell_length_a 4.853
_cell_length_b 4.853
_cell_length_c 4.853
_cell_angle_alpha 90.00
_cell_angle_beta 90.00
_cell_angle_gamma 90.00
loop_
_atom_site_label
_atom_site_fract_x
_atom_site_fract_y
_atom_site_fract_z
_atom_site_occupancy
Li1 0.000 0.000 0.500 1
Ta1 0.500 0.500 0.500 1
Br1 0.000 0.000 0.000 1
```